# 1
DFT (PBE) results for a relaxed structure of AgBi2W.

E: -4.81 eV/atom
D(E_F): 2.0 states/eV/f.u.
Excess energy over the best structure of this formula in the dataset: 0.2030 eV per atom

abc: 7.7468 7.7468 7.7468
angles: 129.52 129.52 74.18
Closest atoms and distances in Å follow each position.
Fractional positions:
Ag 0.0000 0.0000 0.0000  4 Bi 2.89
Ag 0.7500 0.2500 0.5000  4 Bi 2.89
Bi 0.1474 0.6250 0.0224  2 W 2.72, 2 Ag 2.89
Bi 0.3750 0.3974 0.5224  2 W 2.72, 2 Ag 2.89
Bi 0.6026 0.1250 0.9776  2 W 2.72, 2 Ag 2.89
Bi 0.8750 0.8526 0.4776  2 W 2.72, 2 Ag 2.89
W 0.2500 0.7500 0.5000  4 Bi 2.72
W 0.5000 0.5000 0.0000  4 Bi 2.72

# 2
DFT (PBE) results for a relaxed structure of MgTl2Ag2Cl6.

E: -3.09 eV/atom
D(E_F): 0.0 states/eV/f.u.

abc: 7.5195 7.5195 7.5195
angles: 61.88 61.88 61.88
Closest atoms and distances in Å follow each position.
Fractional positions:
Mg 0.0000 0.0000 0.0000  6 Cl 2.51
Tl 0.2193 0.2193 0.2193  3 Cl 3.12, 1 Ag 3.43
Tl 0.7807 0.7807 0.7807  3 Cl 3.12, 1 Ag 3.43
Ag 0.4085 0.4085 0.4085  3 Cl 2.50
Ag 0.5915 0.5915 0.5915  3 Cl 2.50
Cl 0.2086 0.7669 0.7669  1 Ag 2.50, 1 Mg 2.51
Cl 0.2331 0.2331 0.7914  1 Ag 2.50, 1 Mg 2.51
Cl 0.2331 0.7914 0.2331  1 Ag 2.50, 1 Mg 2.51
Cl 0.7669 0.2086 0.7669  1 Ag 2.50, 1 Mg 2.51
Cl 0.7669 0.7669 0.2086  1 Ag 2.50, 1 Mg 2.51
Cl 0.7914 0.2331 0.2331  1 Ag 2.50, 1 Mg 2.51

# 3
DFT (PBE) results for a relaxed structure of PaCoH3.

E: -5.63 eV/atom
D(E_F): 3.2 states/eV/f.u.
Excess energy over the best structure of this formula in the dataset: 0.0000 eV per atom

abc: 4.0141 4.0624 6.0361
angles: 90.00 106.93 90.00
Closest atoms and distances in Å follow each position.
Fractional positions:
Pa 0.1508 0.0000 0.2841  8 H 2.24-2.31
Pa 0.8492 0.5000 0.7159  8 H 2.24-2.31
Co 0.3798 0.0176 0.8414  4 H 1.61-1.68
Co 0.6202 0.5176 0.1586  4 H 1.61-1.68
H 0.0162 0.5014 0.1167  1 Co 1.68
H 0.3082 0.2812 0.6172  1 Co 1.68
H 0.4235 0.6262 0.8839  2 Co 1.61-1.67
H 0.5765 0.1262 0.1161  2 Co 1.61-1.67
H 0.6918 0.7812 0.3828  1 Co 1.68
H 0.9838 0.0014 0.8833  1 Co 1.68

# 4
DFT (PBE) results for a relaxed structure of MgCd3Cl.

E: -0.91 eV/atom
D(E_F): 3.7 states/eV/f.u.
Excess energy over the best structure of this formula in the dataset: 0.2646 eV per atom

abc: 5.4864 5.4864 5.4864
angles: 90.00 90.00 90.00
Closest atoms and distances in Å follow each position.
Fractional positions:
Mg 0.0000 0.0000 0.0000  12 Cd 3.88
Cd 0.0000 0.5000 0.5000  2 Cl 2.74
Cd 0.5000 0.0000 0.5000  2 Cl 2.74
Cd 0.5000 0.5000 0.0000  2 Cl 2.74
Cl 0.5000 0.5000 0.5000  6 Cd 2.74